Computed, not measured: a geometry-optimized AcCoGe2 structure at the GGA-PBE level of DFT.

a b c (Å): 4.7767 4.7767 4.7767
angles (deg): 67.39 67.39 67.39
Atoms (fractional coordinates):
Ac (0.0000, 0.0000, 0.0000)
Co (0.5000, 0.5000, 0.5000)
Ge (0.2817, 0.2817, 0.2817)
Ge (0.7183, 0.7183, 0.7183)

Computed properties:
symmetry = No. 166
ΔH_f (0 K) = -0.016 eV/atom
V = 22.31 Å³ per atom
offset from the most stable computed form = 578 meV per atom